Entry 1:
## TiCr2 (SCAN)

Data for a crystal of TiCr2 relaxed with PBEsol.

Calculated values
SG ... Fd-3m, No. 227
Distance to the lowest polymorph of the same formula ... 0 meV/atom
ΔE_f ... -0.28 eV/f.u.
Calculated total energy ... -17.69 eV/atom

Structure (POSCAR):
```
TiCr2
1.0
0.000 3.386 3.386
3.386 0.000 3.386
3.386 3.386 0.000
Ti Cr
2 4
Direct
0.125 0.125 0.125 Ti
0.875 0.875 0.875 Ti
0.000 0.500 0.500 Cr
0.500 0.000 0.500 Cr
0.500 0.500 0.000 Cr
0.500 0.500 0.500 Cr
```

Entry 2:
## TiZn3Cr (SCAN)

Data for a crystal of TiZn3Cr relaxed with PBEsol.

Calculated values
SG ... Pm-3m, No. 221
ΔE_f ... 4.15 eV/f.u.
Calculated total energy ... -14.16 eV/atom

Structure (POSCAR):
```
TiZn3Cr
1.0
4.445 0.000 0.000
0.000 4.445 0.000
0.000 0.000 4.445
Ti Zn Cr
1 3 1
Direct
0.000 0.000 0.000 Ti
0.000 0.500 0.500 Zn
0.500 0.000 0.500 Zn
0.500 0.500 0.000 Zn
0.500 0.500 0.500 Cr
```

Entry 3:
## ZrTiCr2 (SCAN)

Data for a crystal of ZrTiCr2 relaxed with PBEsol.

Calculated values
SG ... Fm-3m, No. 225
ΔE_f ... 0.33 eV/f.u.
Calculated total energy ... -20.79 eV/atom

Structure (POSCAR):
```
ZrTiCr2
1.0
0.000 3.105 3.105
3.105 0.000 3.105
3.105 3.105 0.000
Zr Ti Cr
1 1 2
Direct
0.000 0.000 0.000 Zr
0.500 0.500 0.500 Ti
0.250 0.250 0.250 Cr
0.750 0.750 0.750 Cr
```

Entry 4:
## ZrTiCr4 (SCAN)

Data for a crystal of ZrTiCr4 relaxed with PBEsol.

Calculated values
SG ... P-3m1, No. 164
Distance to the lowest polymorph of the same formula ... 16 meV/atom
ΔE_f ... -0.07 eV/f.u.
Calculated total energy ... -20.06 eV/atom

Structure (POSCAR):
```
ZrTiCr4
1.0
4.927 0.000 0.000
-2.463 4.267 0.000
0.000 0.000 7.850
Zr Ti Cr
2 2 8
Direct
0.333 0.667 0.065 Zr
0.667 0.333 0.935 Zr
0.333 0.667 0.444 Ti
0.667 0.333 0.556 Ti
0.000 0.000 0.000 Cr
0.000 0.000 0.500 Cr
0.169 0.338 0.740 Cr
0.169 0.831 0.740 Cr
0.338 0.169 0.260 Cr
0.662 0.831 0.740 Cr
0.831 0.169 0.260 Cr
0.831 0.662 0.260 Cr
```

Entry 5:
## ZrTiCr4 (SCAN)

Data for a crystal of ZrTiCr4 relaxed with PBEsol.

Calculated values
SG ... F-43m, No. 216
Distance to the lowest polymorph of the same formula ... 0 meV/atom
ΔE_f ... -0.17 eV/f.u.
Calculated total energy ... -20.07 eV/atom

Structure (POSCAR):
```
ZrTiCr4
1.0
0.000 3.456 3.456
3.456 0.000 3.456
3.456 3.456 0.000
Zr Ti Cr
1 1 4
Direct
0.000 0.000 0.000 Zr
0.750 0.750 0.750 Ti
0.375 0.375 0.375 Cr
0.375 0.375 0.874 Cr
0.375 0.874 0.375 Cr
0.874 0.375 0.375 Cr
```

Entry 6:
## TlCr (SCAN)

Data for a crystal of TlCr relaxed with PBEsol.

Calculated values
SG ... P4/nmm, No. 129
ΔE_f ... 1.26 eV/f.u.
Calculated total energy ... -44.74 eV/atom

Structure (POSCAR):
```
TlCr
1.0
2.977 0.000 0.000
0.000 2.977 0.000
0.000 0.000 8.147
Tl Cr
2 2
Direct
0.250 0.250 0.179 Tl
0.750 0.750 0.821 Tl
0.250 0.250 0.564 Cr
0.750 0.750 0.436 Cr
```

> The lowest ΔE_f belongs to which entry?

TiCr2

> Look up the ΔE_f of the second one.

4.15 eV/f.u.

> Which value of calculated total energy does entry 3 give?

-20.79 eV/atom

> Look up the ΔE_f of the third one.

0.33 eV/f.u.